(1)
The following is a DFT calculation (PBE-GGA) of a relaxed structure of BIr3N.

Unit cell a=4.0259 b=4.0259 c=4.0259 alpha=90.00 beta=90.00 gamma=90.00
With the nearest neighbours (Å) after each atom.
Space group Pm-3m (No. 221)
Unique sites:
B (0.0000, 0.0000, 0.0000) x1  12 Ir 2.85
Ir (0.0000, 0.5000, 0.5000) x3  2 N 2.01
N (0.5000, 0.5000, 0.5000) x1  6 Ir 2.01

Computed properties:
Energy above the most stable polymorph in this dataset in meV per atom: 0.0
Formation energy from raw total energies in meV per atom: 1356

=====

(2)
The following is a DFT calculation (PBE-GGA) of a relaxed structure of Ta2Ti2Mo.

Unit cell a=6.1882 b=8.2260 c=7.4752 alpha=90.00 beta=111.91 gamma=90.00
With the nearest neighbours (Å) after each atom.
Space group C2/m (No. 12)
Unique sites:
Ta (0.1465, 0.1975, 0.2042) x8  2 Mo 2.68-2.69, 5 Ti 2.79-2.97, 1 Ta 2.91
Ti (0.0788, 0.5000, 0.3595) x4  2 Ti 2.63-2.83, 2 Mo 2.81, 2 Ta 2.84
Ti (0.2378, 0.5000, 0.0496) x4  3 Ti 2.75-2.95, 6 Ta 2.79-2.89
Mo (0.0000, 0.1740, 0.5000) x4  4 Ta 2.68-2.69, 4 Ti 2.81-2.99, 1 Mo 2.86

Computed properties:
Energy above the most stable polymorph in this dataset in meV per atom: 241.2
Calculated formation energy in eV/atom: 0.19

=====

(3)
The following is a DFT calculation (PBE-GGA) of a relaxed structure of AcSm5Ho12.

Unit cell a=11.4531 b=17.2852 c=5.9560 alpha=90.00 beta=90.33 gamma=90.00
With the nearest neighbours (Å) after each atom.
Space group C2/m (No. 12)
Unique sites:
Ac (0.0000, 0.0000, 0.0000) x2  10 Ho 3.46-3.85
Sm (0.0000, 0.1660, 0.5000) x4  8 Ho 3.36-3.73
Sm (0.0000, 0.3270, 0.0000) x4  8 Ho 3.33-3.64
Sm (0.0000, 0.5000, 0.5000) x2  8 Ho 3.31-3.62
Ho (0.1671, 0.5000, 0.9555) x4  3 Sm 3.31-3.56, 4 Ho 3.40-3.43
Ho (0.1755, 0.3323, 0.5568) x8  3 Sm 3.33-3.54, 5 Ho 3.36-3.67
Ho (0.1838, 0.1668, 0.9412) x8  5 Ho 3.33-3.67, 3 Sm 3.36-3.64, 1 Ac 3.59
Ho (0.1848, 0.0000, 0.5421) x4  6 Ho 3.36-3.74, 1 Ac 3.46, 3 Sm 3.57-3.62

Computed properties:
Calculated formation energy in eV/atom: 0.11

=====

Number 1: magnetization 0.0 μB/f.u.. Number 2: magnetization 0.0 μB/f.u.. Number 3: magnetization 0.0 μB/f.u..